No. 1
An optimized crystal structure of BaTa2Tc. Source: Alexandria, functional PBE.

Output
The value obtained for the electronic total energy is -7.740 eV per atom. The value obtained for the energy above the most stable polymorph in this dataset is 18.13 kcal/mol of atoms. As for the formation energy from the elements: 121.5 kJ/mol of atoms. The calculation puts the size of the total moment at 0.00 μB per cell.

Structure (CIF):
```
data_BaTa2Tc
_chemical_formula_sum 'Ba2 Ta4 Tc2'
_space_group_name_H-M_alt 'I 4/m m m'
_space_group_IT_number 139
_space_group_name_Hall '-I 4 2'
_cell_length_a 4.0518
_cell_length_b 4.0518
_cell_length_c 10.0932
_cell_angle_alpha 90.00
_cell_angle_beta 90.00
_cell_angle_gamma 90.00
loop_
_atom_site_label
_atom_site_type_symbol
_atom_site_fract_x
_atom_site_fract_y
_atom_site_fract_z
_atom_site_occupancy
Ba1 Ba 0.0000 0.0000 0.0000 1
Ta1 Ta 0.0000 0.5000 0.2500 1
Tc1 Tc 0.0000 0.0000 0.5000 1
```

No. 2
An optimized crystal structure of BaTa2Tc. Source: Alexandria, functional PBE.

Output
The value obtained for the electronic total energy is -8.266 eV per atom. The value obtained for the energy above the most stable polymorph in this dataset is 5.99 kcal/mol of atoms. As for the formation energy from the elements: 70.7 kJ/mol of atoms. The calculation puts the size of the total moment at 0.00 μB per cell.

Structure (CIF):
```
data_BaTa2Tc
_chemical_formula_sum 'Ba3 Ta6 Tc3'
_space_group_name_H-M_alt 'R -3 m'
_space_group_IT_number 166
_space_group_name_Hall '-R 3 2"'
_cell_length_a 3.2059
_cell_length_b 3.2059
_cell_length_c 30.3000
_cell_angle_alpha 90.00
_cell_angle_beta 90.00
_cell_angle_gamma 120.00
loop_
_atom_site_label
_atom_site_type_symbol
_atom_site_fract_x
_atom_site_fract_y
_atom_site_fract_z
_atom_site_occupancy
Ba1 Ba 0.0000 0.0000 0.0000 1
Ta1 Ta 0.0000 0.0000 0.2288 1
Tc1 Tc 0.0000 0.0000 0.5000 1
```

No. 3
An optimized crystal structure of BaTa2Tc. Source: Alexandria, functional PBE.

Output
The value obtained for the electronic total energy is -7.811 eV per atom. The value obtained for the energy above the most stable polymorph in this dataset is 16.49 kcal/mol of atoms. As for the formation energy from the elements: 114.6 kJ/mol of atoms. The calculation puts the size of the total moment at 0.00 μB per cell.

Structure (CIF):
```
data_BaTa2Tc
_chemical_formula_sum 'Ba1 Ta2 Tc1'
_space_group_name_H-M_alt 'P 4/m m m'
_space_group_IT_number 123
_space_group_name_Hall '-P 4 2'
_cell_length_a 4.9668
_cell_length_b 4.9668
_cell_length_c 3.2266
_cell_angle_alpha 90.00
_cell_angle_beta 90.00
_cell_angle_gamma 90.00
loop_
_atom_site_label
_atom_site_type_symbol
_atom_site_fract_x
_atom_site_fract_y
_atom_site_fract_z
_atom_site_occupancy
Ba1 Ba 0.0000 0.0000 0.0000 1
Ta1 Ta 0.0000 0.5000 0.5000 1
Tc1 Tc 0.5000 0.5000 0.0000 1
```

No. 4
An optimized crystal structure of BaTa2Tc. Source: Alexandria, functional PBE.

Output
The value obtained for the electronic total energy is -7.868 eV per atom. The value obtained for the energy above the most stable polymorph in this dataset is 15.16 kcal/mol of atoms. As for the formation energy from the elements: 109.1 kJ/mol of atoms. The calculation puts the size of the total moment at 0.00 μB per cell.

Structure (CIF):
```
data_BaTa2Tc
_chemical_formula_sum 'Ba2 Ta4 Tc2'
_space_group_name_H-M_alt 'C 1 2/m 1'
_space_group_IT_number 12
_cell_length_a 5.7436
_cell_length_b 10.0204
_cell_length_c 2.9896
_cell_angle_alpha 90.00
_cell_angle_beta 108.17
_cell_angle_gamma 90.00
loop_
_space_group_symop_operation_xyz
'x,y,z'
'-x,-y,-z'
'-x,y,-z'
'x,-y,z'
'x+1/2,y+1/2,z'
'-x+1/2,-y+1/2,-z'
'-x+1/2,y+1/2,-z'
'x+1/2,-y+1/2,z'
loop_
_atom_site_label
_atom_site_type_symbol
_atom_site_fract_x
_atom_site_fract_y
_atom_site_fract_z
_atom_site_occupancy
Ba1 Ba 0.0000 0.0000 0.0000 1
Ta1 Ta 0.2500 0.2500 0.5000 1
Tc1 Tc 0.0000 0.5000 0.0000 1
```

> Which of these has the lowest formation energy from the elements?

number 2